(1)
A plane-wave DFT calculation with GGA-PBE was carried out for a relaxed KCa2Tl crystal.

As for the magnetic moment: 0.001 μB per cell. Its formation energy from the elements is 0.04 eV/atom. The theoretical density is 3.610 g cm⁻³. As for the total DFT energy (no corrections): -7.31 eV per formula unit.

```
KCa2Tl
1.0
5.9487 0.0000 0.0000
2.9744 5.1518 0.0000
2.9744 1.7173 4.8571
Ca K Tl
2 1 1
Direct
0.2500 0.2500 0.2500 Ca
0.0000 0.0000 0.0000 Ca
0.5000 0.5000 0.5000 K
0.7500 0.7500 0.7500 Tl
```

(2)
A plane-wave DFT calculation with GGA-PBE was carried out for a relaxed K2CaTl crystal.

The energy above the most stable polymorph in this dataset is 0.0 meV/atom. As for the magnetic moment: 0.000 μB per cell. Its formation energy from the elements is -0.09 eV/atom. The theoretical density is 2.809 g cm⁻³. As for the total DFT energy (no corrections): -6.92 eV per formula unit.

```
K2CaTl
1.0
4.1621 0.0000 0.0000
0.0000 4.1621 0.0000
0.0000 0.0000 11.0091
K Tl Ca
2 1 1
Direct
0.0000 0.0000 0.9633 K
0.5000 0.5000 0.3191 K
0.0000 0.0000 0.5429 Tl
0.5000 0.5000 0.6746 Ca
```

(3)
A plane-wave DFT calculation with GGA-PBE was carried out for a relaxed KCa3Tl crystal.

The energy above the most stable polymorph in this dataset is 0.0 meV/atom. As for the magnetic moment: 0.000 μB per cell. Its formation energy from the elements is -0.03 eV/atom. The theoretical density is 2.565 g cm⁻³. As for the total DFT energy (no corrections): -9.64 eV per formula unit.

```
KCa3Tl
1.0
6.1751 0.0000 0.0000
0.0000 6.1751 0.0000
0.0000 0.0000 6.1751
Ca Tl K
3 1 1
Direct
0.0000 0.0000 0.5000 Ca
0.0000 0.5000 0.0000 Ca
0.5000 0.0000 0.0000 Ca
0.0000 0.0000 0.0000 Tl
0.5000 0.5000 0.5000 K
```

(4)
A plane-wave DFT calculation with GGA-PBE was carried out for a relaxed KCa2Tl crystal.

As for the magnetic moment: 0.000 μB per cell. Its formation energy from the elements is 0.03 eV/atom. The theoretical density is 3.604 g cm⁻³. As for the total DFT energy (no corrections): -7.35 eV per formula unit.

```
KCa2Tl
1.0
6.2057 -0.3992 0.0000
1.6268 6.0020 0.0000
-3.9163 -2.8014 3.9351
Ca Tl K
2 1 1
Direct
0.2500 0.7500 0.5000 Ca
0.0000 0.0000 0.0000 Ca
0.7500 0.2500 0.5000 Tl
0.5000 0.5000 0.0000 K
```

(5)
A plane-wave DFT calculation with GGA-PBE was carried out for a relaxed KCa2Tl crystal.

As for the magnetic moment: 0.000 μB per cell. Its formation energy from the elements is -0.08 eV/atom. The theoretical density is 3.218 g cm⁻³. As for the total DFT energy (no corrections): -7.79 eV per formula unit.

```
KCa2Tl
1.0
-0.0582 1.4917 -3.9052
3.7832 -1.6385 -0.6823
-0.2693 -9.7460 -3.7188
K Ca Tl
1 2 1
Direct
0.0000 0.4576 0.5438 K
0.0000 0.0518 0.9479 Ca
0.5000 0.2986 0.2002 Ca
0.5000 0.6920 0.8080 Tl
```

(6)
A plane-wave DFT calculation with GGA-PBE was carried out for a relaxed KCaTl2 crystal.

As for the magnetic moment: 0.000 μB per cell. Its formation energy from the elements is -0.09 eV/atom. The theoretical density is 5.439 g cm⁻³. As for the total DFT energy (no corrections): -8.18 eV per formula unit.

```
KCaTl2
1.0
-2.1108 -4.8664 1.3084
-0.3069 -5.1639 -1.7573
6.4777 -2.7765 4.0810
K Ca Tl
1 1 2
Direct
0.2500 0.2500 0.2500 K
0.7500 0.7500 0.7500 Ca
0.4957 0.4957 0.5486 Tl
0.0043 0.0043 0.9514 Tl
```

(7)
A plane-wave DFT calculation with GGA-PBE was carried out for a relaxed KCaTl2 crystal.

As for the magnetic moment: 0.000 μB per cell. Its formation energy from the elements is 0.03 eV/atom. The theoretical density is 5.390 g cm⁻³. As for the total DFT energy (no corrections): -7.71 eV per formula unit.

```
KCaTl2
1.0
9.1021 0.0000 0.0000
0.0000 9.1021 0.0000
4.5510 4.5510 3.6288
K Tl Ca
2 4 2
Direct
0.5000 0.5000 0.0000 K
0.2500 0.7500 0.5000 K
0.8750 0.8956 0.7500 Tl
0.3750 0.3544 0.7500 Tl
0.1044 0.6250 0.2500 Tl
0.6456 0.1250 0.2500 Tl
0.0000 0.0000 0.0000 Ca
0.7500 0.2500 0.5000 Ca
```

(8)
A plane-wave DFT calculation with GGA-PBE was carried out for a relaxed KCaTl2 crystal.

As for the magnetic moment: 0.000 μB per cell. Its formation energy from the elements is -0.10 eV/atom. The theoretical density is 5.724 g cm⁻³. As for the total DFT energy (no corrections): -8.24 eV per formula unit.

```
KCaTl2
1.0
-3.7620 -0.3729 -0.7420
-1.9103 -3.1055 1.2446
-4.2624 4.0661 9.5660
Tl Ca K
2 1 1
Direct
0.0761 0.0761 0.7717 Tl
0.2574 0.2574 0.2279 Tl
0.6667 0.6667 0.9998 Ca
0.4998 0.4998 0.5006 K
```

(9)
A plane-wave DFT calculation with GGA-PBE was carried out for a relaxed KCaTl2 crystal.

As for the magnetic moment: 0.000 μB per cell. Its formation energy from the elements is -0.08 eV/atom. The theoretical density is 6.242 g cm⁻³. As for the total DFT energy (no corrections): -8.14 eV per formula unit.

```
KCaTl2
1.0
-5.0829 2.9230 -1.4203
-4.4210 -3.8716 1.3646
4.5938 1.8580 3.4412
K Tl Ca
1 2 1
Direct
0.7500 0.2500 0.5000 K
0.0000 0.0000 0.0000 Tl
0.2500 0.7500 0.5000 Tl
0.5000 0.5000 0.0000 Ca
```

(10)
A plane-wave DFT calculation with GGA-PBE was carried out for a relaxed KCa2Tl crystal.

As for the magnetic moment: 0.000 μB per cell. Its formation energy from the elements is -0.07 eV/atom. The theoretical density is 3.227 g cm⁻³. As for the total DFT energy (no corrections): -7.74 eV per formula unit.

```
KCa2Tl
1.0
12.4243 0.0380 0.0223
11.7786 3.9533 0.0223
11.7786 1.9424 3.4432
Ca K Tl
2 1 1
Direct
0.4830 0.4830 0.4830 Ca
0.0170 0.0170 0.0170 Ca
0.2500 0.2500 0.2500 K
0.7500 0.7500 0.7500 Tl
```

(11)
A plane-wave DFT calculation with GGA-PBE was carried out for a relaxed K2CaTl4 crystal.

As for the magnetic moment: 0.000 μB per cell. Its formation energy from the elements is -0.13 eV/atom. The theoretical density is 5.300 g cm⁻³. As for the total DFT energy (no corrections): -14.55 eV per formula unit.

```
K2CaTl4
1.0
-2.0420 3.6824 3.2337
-2.1974 -1.4182 -4.6202
-6.6254 -8.6582 6.1562
Tl K Ca
4 2 1
Direct
0.3230 0.6765 0.4106 Tl
0.3489 0.6521 0.6905 Tl
0.6511 0.3479 0.3095 Tl
0.6770 0.3235 0.5894 Tl
0.6615 0.3401 0.8639 K
0.3385 0.6599 0.1361 K
0.0000 0.0000 0.5000 Ca
```

(12)
A plane-wave DFT calculation with GGA-PBE was carried out for a relaxed KCaTl2 crystal.

As for the magnetic moment: 0.000 μB per cell. Its formation energy from the elements is -0.19 eV/atom. The theoretical density is 6.199 g cm⁻³. As for the total DFT energy (no corrections): -8.58 eV per formula unit.

```
KCaTl2
1.0
-0.6241 4.4292 3.7045
-2.5796 1.6205 -2.3721
-4.2920 -2.8686 2.7068
Ca Tl K
1 2 1
Direct
0.0000 0.6246 0.3854 Ca
0.0000 0.1249 0.8959 Tl
0.5000 0.1251 0.3577 Tl
0.5000 0.6253 0.8610 K
```

Question: The highest theoretical density belongs to which entry?
Answer: number 9